CoHgN2O: relaxed, PBE+U.

a b c (Å): 3.553 3.553 4.510
angles (deg): 90.00 90.00 90.00
Space group P4/mmm (No. 123)
Asymmetric unit:
Co (0.000, 0.000, 0.000) [1 per cell]
Hg (0.500, 0.500, 0.500) [1 per cell]
N (0.000, 0.500, 0.000) [2 per cell]
O (0.000, 0.000, 0.500) [1 per cell]

N(E_F)	2.3	states/eV/f.u.
density	8.85	Mg/m³
total moment	0.0	μB/f.u.
calculated total energy	-21.137	eV/cell